VASP calculation (PBE with a Hubbard U) on an optimized crystal structure of Ba3TiFe2O9.

Results
**ΔE to the lowest computed polymorph**: 0.42 eV per formula unit
**D(E_F)**: 8.98 states/eV/f.u.

extended XYZ file:
```
15
Lattice="5.7125 0.0000 0.0000 -2.8562 4.9471 0.0000 0.0000 0.0000 7.0130" Properties=species:S:1:pos:R:3 pbc="T T T"
Ba 0.0000 0.0000 0.0000
Ba 0.0000 3.2981 4.6866
Ba 2.8562 1.6490 2.3264
Ti 0.0000 0.0000 3.5065
Fe 0.0000 3.2981 1.1779
Fe 2.8562 1.6490 5.8351
O -1.4281 2.4736 0.0000
O 0.0000 1.6337 2.3528
O -1.4414 4.1303 2.3528
O 1.4149 0.8169 4.6602
O 2.8562 0.0000 0.0000
O 1.4281 2.4736 0.0000
O 1.4414 4.1303 2.3528
O 4.2976 0.8169 4.6602
O 2.8562 3.3134 4.6602
```